Entry 1:
The following is a DFT calculation (PBE) of Rb2BaVCl6 after structural relaxation.

```
Rb2BaVCl6
1.0
0.0000 5.4738 5.4738
5.4738 0.0000 5.4738
5.4738 5.4738 0.0000
Rb Ba V Cl
2 1 1 6
Direct
0.2500 0.2500 0.2500
0.7500 0.7500 0.7500
0.0000 0.0000 0.0000
0.5000 0.5000 0.5000
0.2732 0.2732 0.7268
0.2732 0.7268 0.2732
0.2732 0.7268 0.7268
0.7268 0.2732 0.2732
0.7268 0.2732 0.7268
0.7268 0.7268 0.2732
```

Properties
As for the symmetry: Fm-3m. Its total moment is 3.00 μB per cell. For the calculated volume, the calculation gives 32.802 A^3/atom. As for the raw total energy: -42.41 eV for the cell shown. For the formation energy (no corrections), the calculation gives -18.4 eV/f.u. The density of states at the Fermi level is 0.00 states/eV/atom.

***

Entry 2:
The following is a DFT calculation (PBE) of Li2NbMoRh after structural relaxation.

```
Li2NbMoRh
1.0
4.5212 0.0000 0.0000
0.0000 4.5212 0.0000
0.0000 0.0000 4.5719
Li Nb Mo Rh
2 1 1 1
Direct
0.0000 0.5000 0.0000
0.5000 0.0000 0.0000
0.0000 0.0000 0.0000
0.0000 0.0000 0.5000
0.5000 0.5000 0.5000
```

Properties
As for the symmetry: P4/mmm. Its total moment is 0.41 μB per cell. For the calculated volume, the calculation gives 18.691 A^3/atom. As for the energy of formation from the pure elements: 1.5661 eV/atom. As for the raw total energy: -24.25 eV for the cell shown. The density of states at the Fermi level is 0.89 states/eV/atom.

***

Entry 3:
The following is a DFT calculation (PBE) of CdSi after structural relaxation.

```
CdSi
1.0
2.8651 0.0000 0.0000
-1.4326 2.4813 0.0000
0.0000 0.0000 11.0899
Cd Si
2 2
Direct
0.3333 0.6667 0.1457
0.6667 0.3333 0.8543
0.3333 0.6667 0.5975
0.6667 0.3333 0.4025
```

Properties
As for the symmetry: P-3m1. Its total moment is 0.00 μB per cell. For the calculated volume, the calculation gives 19.710 A^3/atom. As for the raw total energy: -11.18 eV for the cell shown. For the formation energy (no corrections), the calculation gives 0.7 eV/f.u. The density of states at the Fermi level is 0.25 states/eV/atom.

***

> calculated volume of number 1 (Rb2BaVCl6)?

32.802 A^3/atom

***

> The highest calculated volume belongs to which entry?

Rb2BaVCl6

***

> Number 2 is which compound?

Li2NbMoRh